[1]
AlAg4Sn: relaxed, GGA-PBE.

Structure (POSCAR):
```
AlAg4Sn
1.0
0.000 3.916 3.916
3.916 0.000 3.916
3.916 3.916 0.000
Al Ag Sn
1 4 1
direct
0.000 0.000 0.000
0.124 0.625 0.625
0.625 0.124 0.625
0.625 0.625 0.124
0.625 0.625 0.625
0.250 0.250 0.250
```

Calculated values
Energy of formation in meV per atom: 154
D(E_F) in states/eV/f.u.: 2.86
Total magnetization in μB per atom: 0.000
Crystal system: cubic
VASP energy in eV/cell: -18.2

=====

[2]
Nd2Al6Au9: relaxed, GGA-PBE.

Structure (POSCAR):
```
Nd2Al6Au9
1.0
5.834 0.000 0.000
-2.917 5.052 0.000
0.000 0.000 12.203
Nd Al Au
2 6 9
direct
0.000 0.000 0.176
0.000 0.000 0.824
0.333 0.667 0.166
0.333 0.667 0.500
0.333 0.667 0.834
0.667 0.333 0.166
0.667 0.333 0.500
0.667 0.333 0.834
0.000 0.500 0.000
0.000 0.500 0.332
0.000 0.500 0.668
0.500 0.000 0.000
0.500 0.000 0.332
0.500 0.000 0.668
0.500 0.500 0.000
0.500 0.500 0.332
0.500 0.500 0.668
```

Calculated values
Energy of formation in meV per atom: -444
D(E_F) in states/eV/f.u.: 6.23
Total magnetization in μB per atom: 0.000
Crystal system: hexagonal
VASP energy in eV/cell: -69.0

=====

[3]
AcMgCuAg: relaxed, GGA-PBE.

Structure (POSCAR):
```
AcMgCuAg
1.0
4.073 -2.355 0.000
4.073 2.355 0.000
-2.722 0.000 5.149
Ac Mg Cu Ag
1 1 1 1
direct
0.000 0.000 0.000
0.494 0.494 0.482
0.797 0.797 0.391
0.206 0.206 0.618
```

Calculated values
Energy of formation in meV per atom: -207
D(E_F) in states/eV/f.u.: 2.03
Total magnetization in μB per atom: 0.000
Crystal system: monoclinic
VASP energy in eV/cell: -13.5

=====

[4]
FeOsSe2N: relaxed, GGA-PBE.

Structure (POSCAR):
```
FeOsSe2N
1.0
5.096 0.000 0.000
0.000 5.096 0.000
0.000 0.000 3.654
Fe Os Se N
1 1 2 1
direct
0.000 0.000 0.000
0.500 0.500 0.500
0.000 0.500 0.500
0.500 0.000 0.500
0.500 0.500 0.000
```

Calculated values
D(E_F) in states/eV/f.u.: 5.72
Total magnetization in μB per atom: 0.707
Crystal system: tetragonal
E_form (uncorrected) in eV per atom: 0.71
VASP energy in eV/cell: -31.4

=====

[5]
LiScCr2: relaxed, GGA-PBE.

Structure (POSCAR):
```
LiScCr2
1.0
2.527 -4.657 0.000
2.527 4.657 0.000
-0.859 0.000 2.408
Li Sc Cr
1 1 2
direct
0.000 0.000 0.000
0.500 0.500 0.000
0.000 0.500 0.500
0.500 0.000 0.500
```

Calculated values
Energy of formation in meV per atom: 569
D(E_F) in states/eV/f.u.: 4.81
Total magnetization in μB per atom: 0.064
Crystal system: monoclinic
VASP energy in eV/cell: -25.2

=====

[6]
Sm3Al3Si: relaxed, GGA-PBE.

Structure (POSCAR):
```
Sm3Al3Si
1.0
-2.111 2.153 9.422
2.111 -2.153 9.422
2.111 2.153 -9.422
Sm Al Si
3 3 1
direct
0.000 0.000 0.000
0.179 0.679 0.500
0.370 0.370 0.000
0.543 0.543 0.000
0.747 0.247 0.500
0.823 0.823 0.000
0.617 0.117 0.500
```

Calculated values
D(E_F) in states/eV/f.u.: 5.90
Total magnetization in μB per atom: 0.065
Crystal system: orthorhombic
E_form (uncorrected) in eV per atom: -0.51
VASP energy in eV/cell: -34.4

=====

[7]
TaReW2: relaxed, GGA-PBE.

Structure (POSCAR):
```
TaReW2
1.0
2.774 0.000 0.000
0.000 4.509 0.000
-0.931 0.000 5.203
Ta Re W
1 1 2
direct
0.000 0.000 0.000
0.250 0.500 0.753
0.500 0.000 0.500
0.743 0.500 0.255
```

Calculated values
Energy of formation in meV per atom: -94
D(E_F) in states/eV/f.u.: 1.96
Total magnetization in μB per atom: 0.000
Crystal system: monoclinic
VASP energy in eV/cell: -50.6

=====

[8]
Dy2HoN: relaxed, GGA-PBE.

Structure (POSCAR):
```
Dy2HoN
1.0
1.727 0.997 9.396
-1.727 0.997 9.396
0.000 -1.994 9.396
Dy Ho N
2 1 1
direct
0.120 0.120 0.120
0.880 0.880 0.880
0.000 0.000 0.000
0.500 0.500 0.500
```

Calculated values
D(E_F) in states/eV/f.u.: 4.13
Total magnetization in μB per atom: 0.223
Crystal system: trigonal
E_form (uncorrected) in eV per atom: -0.67
VASP energy in eV/cell: -24.8

=====

[9]
CaPr2RuN4: relaxed, GGA-PBE.

Structure (POSCAR):
```
CaPr2RuN4
1.0
1.772 -6.233 0.000
1.772 6.233 0.000
0.000 0.000 12.069
Ca Pr Ru N
2 4 2 8
direct
0.136 0.864 0.750
0.864 0.136 0.250
0.369 0.631 0.534
0.369 0.631 0.966
0.631 0.369 0.034
0.631 0.369 0.466
0.149 0.851 0.250
0.851 0.149 0.750
0.000 0.000 0.000
0.000 0.000 0.500
0.262 0.738 0.133
0.262 0.738 0.367
0.417 0.583 0.750
0.583 0.417 0.250
0.738 0.262 0.633
0.738 0.262 0.867
```

Calculated values
D(E_F) in states/eV/f.u.: 0.95
Total magnetization in μB per atom: 0.000
Crystal system: orthorhombic
E_form (uncorrected) in eV per atom: -0.66
VASP energy in eV/cell: -118.9

=====

[10]
K2Li4P: relaxed, GGA-PBE.

Structure (POSCAR):
```
K2Li4P
1.0
-2.399 2.399 11.306
2.399 -2.399 11.306
2.399 2.399 -11.306
K Li P
2 4 1
direct
0.185 0.185 0.000
0.815 0.815 0.000
0.000 0.500 0.500
0.396 0.396 0.000
0.500 0.000 0.500
0.604 0.604 0.000
0.500 0.500 0.000
```

Calculated values
Energy of formation in meV per atom: -193
D(E_F) in states/eV/f.u.: 2.53
Total magnetization in μB per atom: 0.000
Crystal system: tetragonal
VASP energy in eV/cell: -16.6

=====

[11]
RbO4: relaxed, GGA-PBE.

Structure (POSCAR):
```
RbO4
1.0
4.879 0.000 0.000
0.000 7.893 0.000
-4.057 0.000 5.318
Rb O
2 8
direct
0.000 0.000 0.000
0.000 0.500 0.500
0.374 0.171 0.532
0.374 0.329 0.032
0.400 0.710 0.382
0.400 0.790 0.882
0.600 0.210 0.118
0.600 0.290 0.618
0.626 0.671 0.968
0.626 0.829 0.468
```

Calculated values
D(E_F) in states/eV/f.u.: 3.13
Total magnetization in μB per atom: 0.600
Crystal system: monoclinic
E_form (uncorrected) in eV per atom: -0.53
VASP energy in eV/cell: -46.9

=====

[12]
Sr2AlSe: relaxed, GGA-PBE.

Structure (POSCAR):
```
Sr2AlSe
1.0
3.872 0.000 0.000
0.000 3.872 0.000
0.000 0.000 7.909
Sr Al Se
2 1 1
direct
0.000 0.000 0.233
0.000 0.000 0.767
0.500 0.500 0.500
0.500 0.500 0.000
```

Calculated values
D(E_F) in states/eV/f.u.: 2.09
Total magnetization in μB per atom: 0.000
Crystal system: tetragonal
E_form (uncorrected) in eV per atom: -0.85
VASP energy in eV/cell: -14.0